(1)
VASP calculation (GGA-PBEsol) on a geometry-optimized CuSe2BrO structure.

```
5
Lattice="3.988 0.000 0.000 0.000 3.988 0.000 0.000 0.000 6.485" Properties=species:S:1:pos:R:3 pbc="T T T"
Br 0.000 0.000 3.243
Cu 1.994 1.994 3.243
Se 0.000 1.994 0.000
Se 1.994 0.000 0.000
O 0.000 0.000 0.000
```

Values from the calculation:
Formation energy from raw total energies ... 0.450 eV per atom
Magnetic moment ... 0.00 Bohr magnetons per cell
E above lowest polymorph ... 0.000 eV per atom
Symmetry ... P4/mmm (123)

***

(2)
VASP calculation (GGA-PBEsol) on a geometry-optimized Mn2AsBr structure.

```
4
Lattice="-2.879 -2.101 0.394 -0.360 -3.287 -3.843 1.316 -4.502 1.925" Properties=species:S:1:pos:R:3 pbc="T T T"
Mn -0.067 -6.272 -1.301
Mn -1.856 -3.619 -0.223
Br -1.439 -1.051 0.197
As 0.478 -3.895 -0.959
```

Values from the calculation:
Formation energy from raw total energies ... 0.413 eV per atom
Magnetic moment ... 8.34 Bohr magnetons per cell
E above lowest polymorph ... 0.367 eV per atom
Symmetry ... Immm (71)